Record 1
VASP calculation (PBE-GGA) on Rb2MgH2F2 after structural relaxation.

Calculated values
crystal system	tetragonal
calculated total energy	-3.659	eV per atom

POSCAR file:
```
Rb2MgH2F2
1.0
-2.058 2.058 7.024
2.058 -2.058 7.024
2.058 2.058 -7.024
Rb Mg H F
2 1 2 2
direct
0.148 0.148 0.000
0.852 0.852 0.000
0.500 0.500 0.000
0.000 0.500 0.500
0.500 0.000 0.500
0.355 0.355 0.000
0.645 0.645 0.000
```

=====

Record 2
VASP calculation (PBE-GGA) on CaNb2O6 after structural relaxation.

Calculated values
energy relative to the elements, uncorrected	-2.779	eV per atom
crystal system	orthorhombic

POSCAR file:
```
CaNb2O6
1.0
15.183 0.000 0.000
0.000 5.941 0.000
0.000 0.000 5.271
Ca Nb O
4 8 24
direct
0.000 0.214 0.250
0.000 0.786 0.750
0.500 0.286 0.750
0.500 0.714 0.250
0.165 0.315 0.710
0.165 0.685 0.210
0.335 0.185 0.210
0.335 0.815 0.710
0.665 0.185 0.290
0.665 0.815 0.790
0.835 0.315 0.790
0.835 0.685 0.290
0.087 0.105 0.601
0.087 0.895 0.101
0.101 0.425 0.007
0.101 0.575 0.507
0.244 0.360 0.386
0.244 0.640 0.886
0.256 0.140 0.886
0.256 0.860 0.386
0.399 0.075 0.507
0.399 0.925 0.007
0.413 0.395 0.101
0.413 0.605 0.601
0.587 0.395 0.399
0.587 0.605 0.899
0.601 0.075 0.993
0.601 0.925 0.493
0.744 0.140 0.614
0.744 0.860 0.114
0.756 0.360 0.114
0.756 0.640 0.614
0.899 0.425 0.493
0.899 0.575 0.993
0.913 0.105 0.899
0.913 0.895 0.399
```

=====

Record 3
VASP calculation (PBE-GGA) on Ac8La5Ce after structural relaxation.

Calculated values
crystal system	tetragonal
calculated total energy	-4.315	eV per atom

POSCAR file:
```
Ac8La5Ce
1.0
-5.134 5.134 5.542
5.134 -5.134 5.542
5.134 5.134 -5.542
Ac La Ce
8 5 1
direct
0.078 0.326 0.607
0.187 0.443 0.108
0.334 0.078 0.892
0.529 0.922 0.248
0.557 0.666 0.744
0.674 0.282 0.752
0.718 0.471 0.393
0.922 0.813 0.256
0.034 0.726 0.897
0.250 0.750 0.500
0.274 0.171 0.308
0.829 0.136 0.103
0.864 0.966 0.692
0.500 0.500 0.000
```